Entry 1:
An optimized crystal structure of ZnSbCl2, computed with PBE-GGA.

Calculated values
Total moment in μB per formula unit: 0.0
Final energy in eV per atom: -2.297
E above lowest polymorph in meV/atom: 525
Fermi-level density of states in states/eV/atom: 0.36
Crystal system: orthorhombic
Uncorrected formation energy in meV/atom: -24

Cell: 6.255 8.620 3.349 Å, 90.00 90.00 90.00°
Space group Cmmm (No. 65)
Inequivalent atoms, fractional coordinates:
Zn: 0.000 0.000 0.000 x2
Sb: 0.000 0.500 0.000 x2
Cl: 0.250 0.250 0.500 x4

***

Entry 2:
An optimized crystal structure of La3SmHo6Tm2, computed with PBE-GGA.

Calculated values
Total moment in μB per formula unit: 0.0
Final energy in eV per atom: -4.635
Fermi-level density of states in states/eV/atom: 1.38
Crystal system: monoclinic

Cell: 6.209 10.756 11.839 Å, 90.00 100.07 90.00°
Space group C2/m (No. 12)
Inequivalent atoms, fractional coordinates:
La: 0.000 0.000 0.000 x2
La: 0.000 0.333 0.000 x4
Sm: 0.000 0.500 0.500 x2
Ho: 0.247 0.000 0.744 x4
Ho: 0.248 0.333 0.744 x8
Tm: 0.000 0.167 0.500 x4

***

Entry 3:
An optimized crystal structure of MgZn2W, computed with PBE-GGA.

Calculated values
Total moment in μB per formula unit: 0.0
Final energy in eV per atom: -3.873
Fermi-level density of states in states/eV/atom: 0.50
Crystal system: orthorhombic

Cell: 2.858 4.836 9.468 Å, 90.00 90.00 90.00°
Space group Immm (No. 71)
Inequivalent atoms, fractional coordinates:
Mg: 0.000 0.000 0.000 x2
Zn: 0.000 0.500 0.243 x4
W: 0.000 0.000 0.500 x2

***

Entry 4:
An optimized crystal structure of NaGe2Ru2, computed with PBE-GGA.

Calculated values
Total moment in μB per formula unit: 0.0
Final energy in eV per atom: -5.981
E above lowest polymorph in meV/atom: 0
Fermi-level density of states in states/eV/atom: 0.98
Crystal system: tetragonal

Cell: 4.165 4.165 10.386 Å, 90.00 90.00 90.00°
Space group I4/mmm (No. 139)
Inequivalent atoms, fractional coordinates:
Na: 0.000 0.000 0.000 x2
Ge: 0.000 0.000 0.375 x4
Ru: 0.000 0.500 0.250 x4

***

Entry 5:
An optimized crystal structure of Ce2Cu2Ge3, computed with PBE-GGA.

Calculated values
Total moment in μB per formula unit: 1.4
Final energy in eV per atom: -5.411
E above lowest polymorph in meV/atom: 0
Fermi-level density of states in states/eV/atom: 1.51
Crystal system: orthorhombic

Cell: 4.379 18.396 6.759 Å, 90.00 90.00 90.00°
Space group Cmcm (No. 63)
Inequivalent atoms, fractional coordinates:
Ce: 0.000 0.050 0.250 x4
Ce: 0.000 0.159 0.750 x4
Cu: 0.000 0.310 0.563 x8
Ge: 0.000 0.222 0.250 x4
Ge: 0.000 0.436 0.063 x8

***

Entry 6:
An optimized crystal structure of ZrZn2Ag, computed with PBE-GGA.

Calculated values
Total moment in μB per formula unit: 0.0
Final energy in eV per atom: -3.611
Fermi-level density of states in states/eV/atom: 0.62
Crystal system: monoclinic

Cell: 2.882 4.327 5.786 Å, 90.00 104.22 90.00°
Space group Pm (No. 6)
Inequivalent atoms, fractional coordinates:
Zr: 0.000 0.000 0.000 x1
Zn: 0.263 0.000 0.523 x1
Zn: 0.387 0.500 0.770 x1
Ag: 0.654 0.500 0.308 x1

***

Entry 7:
An optimized crystal structure of Ba3YTi, computed with PBE-GGA.

Calculated values
Total moment in μB per formula unit: 0.9
Final energy in eV per atom: -3.210
E above lowest polymorph in meV/atom: 0
Fermi-level density of states in states/eV/atom: 1.60
Crystal system: cubic

Cell: 6.200 6.200 6.200 Å, 90.00 90.00 90.00°
Space group Pm-3m (No. 221)
Inequivalent atoms, fractional coordinates:
Ba: 0.000 0.000 0.500 x3
Y: 0.500 0.500 0.500 x1
Ti: 0.000 0.000 0.000 x1

***

Entry 8:
An optimized crystal structure of Pm3Nd4Ho2, computed with PBE-GGA.

Calculated values
Total moment in μB per formula unit: 0.0
Final energy in eV per atom: -4.705
E above lowest polymorph in meV/atom: 0
Fermi-level density of states in states/eV/atom: 1.43
Crystal system: triclinic

Cell: 6.293 6.294 9.620 Å, 90.00 109.01 119.95°
Space group P-1 (No. 2)
Inequivalent atoms, fractional coordinates:
Pm: 0.000 0.000 0.000 x1
Pm: 0.445 0.556 0.665 x2
Nd: 0.112 0.889 0.666 x2
Nd: 0.331 0.665 0.000 x2
Ho: 0.224 0.779 0.335 x2

***

Entry 9:
An optimized crystal structure of Sr2AcSb3Pt4, computed with PBE-GGA.

Calculated values
Total moment in μB per formula unit: 0.0
Final energy in eV per atom: -5.228
Fermi-level density of states in states/eV/atom: 0.55
Crystal system: tetragonal
Uncorrected formation energy in meV/atom: -828

Cell: 4.769 4.769 11.447 Å, 90.00 90.00 90.00°
Space group P-4m2 (No. 115)
Inequivalent atoms, fractional coordinates:
Sr: 0.000 0.500 0.213 x2
Ac: 0.000 0.000 0.500 x1
Sb: 0.000 0.500 0.884 x2
Sb: 0.500 0.500 0.500 x1
Pt: 0.000 0.000 0.000 x1
Pt: 0.000 0.500 0.655 x2
Pt: 0.500 0.500 0.000 x1

***

Entry 10:
An optimized crystal structure of ZnSiAu3, computed with PBE-GGA.

Calculated values
Total moment in μB per formula unit: 0.0
Final energy in eV per atom: -2.635
E above lowest polymorph in meV/atom: 722
Fermi-level density of states in states/eV/atom: 0.47
Crystal system: cubic
Uncorrected formation energy in meV/atom: 670

Cell: 4.806 4.806 4.806 Å, 90.00 90.00 90.00°
Space group Pm-3m (No. 221)
Inequivalent atoms, fractional coordinates:
Zn: 0.000 0.000 0.000 x1
Si: 0.500 0.500 0.500 x1
Au: 0.000 0.000 0.500 x3

***

Entry 11:
An optimized crystal structure of Ba2NpPtSe5, computed with PBE-GGA.

Calculated values
Total moment in μB per formula unit: 2.4
Final energy in eV per atom: -5.763
Fermi-level density of states in states/eV/atom: 1.33
Crystal system: orthorhombic
Uncorrected formation energy in meV/atom: -1291

Cell: 4.215 18.713 13.401 Å, 90.00 90.00 90.00°
Space group Cmc2_1 (No. 36)
Inequivalent atoms, fractional coordinates:
Ba: 0.000 0.114 0.000 x4
Ba: 0.000 0.128 0.359 x4
Np: 0.000 0.190 0.680 x4
Pt: 0.000 0.435 0.082 x4
Se: 0.000 0.040 0.675 x4
Se: 0.000 0.300 0.038 x4
Se: 0.000 0.309 0.323 x4
Se: 0.000 0.338 0.678 x4
Se: 0.000 0.497 0.917 x4

***

Entry 12:
An optimized crystal structure of CsNaSi2Bi, computed with PBE-GGA.

Calculated values
Total moment in μB per formula unit: 0.0
Final energy in eV per atom: -2.556
Fermi-level density of states in states/eV/atom: 0.83
Crystal system: tetragonal
Uncorrected formation energy in meV/atom: 824

Cell: 5.627 5.627 6.946 Å, 90.00 90.00 90.00°
Space group P4/mmm (No. 123)
Inequivalent atoms, fractional coordinates:
Cs: 0.000 0.000 0.000 x1
Na: 0.500 0.500 0.000 x1
Si: 0.000 0.500 0.500 x2
Bi: 0.000 0.000 0.500 x1

***

Entry 13:
An optimized crystal structure of PrYCdCu, computed with PBE-GGA.

Calculated values
Total moment in μB per formula unit: 0.0
Final energy in eV per atom: -4.265
Fermi-level density of states in states/eV/atom: 0.75
Crystal system: cubic

Cell: 7.405 7.405 7.405 Å, 90.00 90.00 90.00°
Space group F-43m (No. 216)
Inequivalent atoms, fractional coordinates:
Pr: 0.000 0.000 0.000 x4
Y: 0.000 0.000 0.500 x4
Cd: 0.250 0.250 0.250 x4
Cu: 0.250 0.250 0.750 x4

***

Entry 14:
An optimized crystal structure of BeTlMo2, computed with PBE-GGA.

Calculated values
Total moment in μB per formula unit: 0.0
Final energy in eV per atom: -6.104
E above lowest polymorph in meV/atom: 473
Fermi-level density of states in states/eV/atom: 0.69
Crystal system: cubic

Cell: 6.340 6.340 6.340 Å, 90.00 90.00 90.00°
Space group Fm-3m (No. 225)
Inequivalent atoms, fractional coordinates:
Be: 0.000 0.000 0.000 x4
Tl: 0.000 0.000 0.500 x4
Mo: 0.250 0.250 0.250 x8